(1)
Below is Ba3FeS after structural relaxation, with properties calculated at the PBE level.

```
5
Lattice="6.071 0.000 0.000 0.000 6.071 0.000 0.000 0.000 6.071" Properties=species:S:1:pos:R:3 pbc="T T T"
Fe 3.036 3.036 3.036
Ba 0.000 0.000 3.036
Ba 3.036 0.000 0.000
Ba 0.000 3.036 0.000
S 0.000 0.000 0.000
```

Values from the calculation:
Offset from the most stable computed form (eV per atom): 0.000
Space-group type: Pm-3m (221)
Electronic total energy (hartree per atom): -0.1415
ΔE_f (raw) (eV/atom): -0.1798



(2)
Below is TlGaO2 after structural relaxation, with properties calculated at the PBE level.

```
8
Lattice="-5.843 -6.836 -9.312 -0.198 -5.619 -1.057 1.046 -1.162 5.503" Properties=species:S:1:pos:R:3 pbc="T T T"
Tl -3.927 -7.435 -5.000
Tl -1.216 -2.336 -1.446
Ga -3.584 -10.770 -2.689
Ga -0.871 -5.682 0.872
O -3.723 -9.658 -6.543
O -2.305 -5.540 -3.099
O -5.360 -7.894 -8.453
O -0.180 -4.010 1.392
```

Values from the calculation:
Offset from the most stable computed form (eV per atom): 0.000
Space-group type: Ima2 (46)
Electronic total energy (hartree per atom): -0.1923
ΔE_f (raw) (eV/atom): -1.4055



(3)
Below is SrTeRu2 after structural relaxation, with properties calculated at the PBE level.

```
4
Lattice="-1.348 5.224 1.573 -4.516 -2.924 -1.623 -1.807 -0.302 2.562" Properties=species:S:1:pos:R:3 pbc="T T T"
Sr -1.577 2.461 2.067
Ru 0.000 0.000 0.000
Ru -2.932 1.150 -0.025
Te -3.162 -1.613 0.469
```

Values from the calculation:
Space-group type: C2/m (12)
Electronic total energy (hartree per atom): -0.1930
ΔE_f (raw) (eV/atom): 0.5910



(4)
Below is AcSm2Er after structural relaxation, with properties calculated at the PBE level.

```
4
Lattice="-3.688 -3.618 -0.958 0.500 -1.809 4.909 -5.223 0.566 3.554" Properties=species:S:1:pos:R:3 pbc="T T T"
Sm -5.222 0.566 3.554
Sm -5.252 -2.884 2.286
Ac -3.159 -1.978 5.220
Er -1.594 -2.714 1.976
```

Values from the calculation:
Calculated formation energy (meV/atom): 53
Offset from the most stable computed form (eV per atom): 0.009
Space-group type: I-4m2 (119)
Electronic total energy (hartree per atom): -0.1644



(5)
Below is Pm2ZnCu5Ni2 after structural relaxation, with properties calculated at the PBE level.

```
20
Lattice="-3.592 -1.162 0.380 2.763 -6.694 5.644 -1.058 5.620 7.184" Properties=species:S:1:pos:R:3 pbc="T T T"
Cu -0.415 -3.928 3.012
Cu -2.325 2.229 3.782
Cu 0.601 -5.766 6.993
Cu -1.565 0.552 5.842
Cu -0.598 -0.595 11.476
Cu -0.878 -1.902 4.832
Cu -1.290 -1.642 1.732
Cu -1.010 -0.336 8.376
Cu -2.489 3.528 6.214
Cu -0.323 -2.789 7.365
Zn 0.000 0.000 0.000
Zn 0.852 -0.537 6.414
Pm 0.011 2.469 7.657
Pm 1.694 -3.544 5.171
Pm 0.171 0.555 3.310
Pm 1.534 -1.630 9.518
Ni 0.760 0.865 9.830
Ni -0.334 2.687 5.057
Ni 2.039 -3.762 7.770
Ni 0.945 -1.940 2.998
```

Values from the calculation:
Calculated formation energy (meV/atom): -140
Space-group type: P4/mbm (127)
Electronic total energy (hartree per atom): -0.1625



(6)
Below is Pm2ReAg after structural relaxation, with properties calculated at the PBE level.

```
4
Lattice="-1.032 -0.347 -3.358 -3.357 -0.267 1.059 -0.783 7.653 -0.551" Properties=species:S:1:pos:R:3 pbc="T T T"
Pm -0.609 5.956 -0.429
Pm -0.174 1.697 -0.122
Ag -2.586 3.519 -1.425
Re -2.194 -0.307 -1.149
```

Values from the calculation:
Calculated formation energy (meV/atom): 42
Space-group type: P4/mmm (123)
Electronic total energy (hartree per atom): -0.2263



(7)
Below is PaICl4 after structural relaxation, with properties calculated at the PBE level.

```
12
Lattice="8.863 8.335 0.000 4.648 12.838 0.000 0.000 0.000 7.592" Properties=species:S:1:pos:R:3 pbc="T T T"
Cl 0.902 0.849 5.420
Cl 3.911 7.903 2.556
Cl 12.609 20.324 2.172
Cl 9.600 13.270 5.036
Cl 10.285 13.906 1.624
Cl 3.226 7.268 5.968
Cl 7.276 6.851 6.352
Cl 6.234 14.322 1.240
I 6.755 10.587 0.000
I 4.431 4.168 3.796
Pa 2.324 6.419 3.796
Pa 0.000 0.000 0.000
```

Values from the calculation:
Offset from the most stable computed form (eV per atom): 0.000
Space-group type: P2_1/c (14)
Electronic total energy (hartree per atom): -0.1723
ΔE_f (raw) (eV/atom): -1.6157



(8)
Below is Tb6NdHo2Sc3 after structural relaxation, with properties calculated at the PBE level.

```
12
Lattice="-4.766 2.090 -3.117 4.752 -2.353 -2.945 -4.786 -10.154 2.471" Properties=species:S:1:pos:R:3 pbc="T T T"
Ho -1.592 0.609 -3.060
Ho 1.579 -0.872 -3.003
Nd 0.000 0.000 0.000
Tb -2.836 -1.965 -0.925
Tb 0.341 -3.448 -0.868
Tb -5.140 -6.969 -2.724
Tb -1.254 -2.839 -3.923
Tb -3.544 -7.579 0.332
Tb -1.963 -8.453 -2.666
Sc -2.399 -5.209 -1.796
Sc -5.569 -3.729 -1.853
Sc 0.770 -6.689 -1.738
```

Values from the calculation:
Calculated formation energy (meV/atom): 44
Space-group type: C2/m (12)
Electronic total energy (hartree per atom): -0.1843



(9)
Below is AcPrSc after structural relaxation, with properties calculated at the PBE level.

```
18
Lattice="-3.255 -8.328 1.176 -1.853 -5.279 -7.931 5.903 -7.461 -1.917" Properties=species:S:1:pos:R:3 pbc="T T T"
Pr -1.569 -4.014 0.567
Pr 0.456 -10.384 -4.357
Pr 1.294 -7.167 -3.139
Pr 1.866 -7.849 -6.388
Pr 2.274 -13.243 -8.872
Pr 0.885 -1.773 -0.655
Sc 0.468 -18.690 -6.541
Sc -2.339 -12.100 -2.223
Sc 4.210 -8.663 -4.372
Sc -1.172 -6.664 -5.110
Sc 1.177 -13.971 -5.742
Sc -1.630 -7.381 -1.424
Ac 1.131 -13.615 -2.198
Ac -2.401 -12.733 -5.728
Ac -2.852 -9.277 -3.891
Ac -0.017 -10.659 -8.050
Ac 0.970 -10.004 -0.679
Ac 3.596 -11.921 -4.762
```

Values from the calculation:
Calculated formation energy (meV/atom): 198
Offset from the most stable computed form (eV per atom): 0.100
Space-group type: Ima2 (46)
Electronic total energy (hartree per atom): -0.1791



(10)
Below is K2ReAg after structural relaxation, with properties calculated at the PBE level.

```
4
Lattice="5.398 0.003 0.000 -0.016 5.398 0.000 -2.691 -2.701 3.822" Properties=species:S:1:pos:R:3 pbc="T T T"
K -0.008 2.699 1.911
K 0.000 0.000 0.000
Re 2.691 2.701 0.000
Ag 2.699 0.001 1.911
```

Values from the calculation:
Calculated formation energy (meV/atom): 1407
Offset from the most stable computed form (eV per atom): 0.424
Space-group type: I-4m2 (119)
Electronic total energy (hartree per atom): -0.1090



(11)
Below is KTl3H2F6 after structural relaxation, with properties calculated at the PBE level.

```
12
Lattice="-0.049 5.218 -2.582 -3.249 -0.932 4.740 5.563 2.148 4.235" Properties=species:S:1:pos:R:3 pbc="T T T"
K 2.782 1.074 2.118
F 2.061 5.199 3.902
F -1.129 0.852 4.436
F -1.149 2.993 3.377
F 3.414 3.440 3.016
F 0.205 1.235 2.491
F 3.394 5.581 1.957
Tl 0.443 3.769 1.045
Tl 1.822 2.664 5.348
Tl 0.000 0.000 0.000
H 2.974 4.747 2.972
H -0.709 1.687 3.421
```

Values from the calculation:
Space-group type: P-3m1 (164)
Electronic total energy (hartree per atom): -0.1428



(12)
Below is ScHgAs2Se after structural relaxation, with properties calculated at the PBE level.

```
5
Lattice="-3.793 2.025 -2.935 0.730 -3.753 -3.534 -3.408 -2.916 2.392" Properties=species:S:1:pos:R:3 pbc="T T T"
As -1.896 1.013 -1.467
As 0.365 -1.876 -1.767
Hg -3.235 -2.322 -2.038
Sc 0.000 0.000 0.000
Se -1.704 -1.458 1.196
```

Values from the calculation:
Offset from the most stable computed form (eV per atom): 0.000
Space-group type: P4/mmm (123)
Electronic total energy (hartree per atom): -0.1407
ΔE_f (raw) (eV/atom): 0.0539



(13)
Below is BaZnN2 after structural relaxation, with properties calculated at the PBE level.

```
8
Lattice="-0.449 4.105 -2.208 -3.468 -1.776 -2.598 -6.141 3.026 1.909" Properties=species:S:1:pos:R:3 pbc="T T T"
N -3.844 0.935 -1.839
N -2.165 2.325 -0.811
N -6.729 2.808 -0.861
N -7.379 4.643 -2.283
Zn -1.958 1.165 -2.403
Zn -5.784 1.207 -1.546
Ba 0.000 0.000 0.000
Ba -4.274 4.148 -1.351
```

Values from the calculation:
Space-group type: I-42d (122)
Electronic total energy (hartree per atom): -0.1720
ΔE_f (raw) (eV/atom): 0.2814



(14)
Below is LiTiCd6 after structural relaxation, with properties calculated at the PBE level.

```
8
Lattice="-4.364 -0.029 -0.311 -0.031 -4.295 0.832 -0.607 1.626 8.370" Properties=species:S:1:pos:R:3 pbc="T T T"
Ti -0.303 0.813 4.185
Cd -0.168 -1.740 2.518
Cd -2.334 0.394 1.946
Cd -2.501 -1.349 4.446
Cd -2.637 1.203 6.113
Cd -0.470 -0.930 6.685
Cd -2.198 -2.162 0.261
Li 0.000 0.000 0.000
```

Values from the calculation:
Calculated formation energy (meV/atom): -49
Space-group type: P4/mmm (123)
Electronic total energy (hartree per atom): -0.0721



(15)
Below is ZrTaTiF2 after structural relaxation, with properties calculated at the PBE level.

```
5
Lattice="-1.536 3.628 -0.014 -1.857 -0.799 -3.381 -4.550 -1.915 2.952" Properties=species:S:1:pos:R:3 pbc="T T T"
Ti 0.000 0.000 0.000
Ta -2.275 -0.958 1.476
Zr -3.972 0.457 -0.222
F -0.768 1.814 -0.007
F -0.929 -0.399 -1.691
```

Values from the calculation:
Space-group type: P4/mmm (123)
Electronic total energy (hartree per atom): -0.2688
ΔE_f (raw) (eV/atom): -0.9074



(16)
Below is VCrIrPt after structural relaxation, with properties calculated at the PBE level.

```
4
Lattice="3.821 0.000 0.000 0.000 3.862 0.000 0.000 0.000 3.767" Properties=species:S:1:pos:R:3 pbc="T T T"
V 0.000 1.931 1.884
Cr 1.911 0.000 1.884
Pt 0.000 0.000 0.000
Ir 1.911 1.931 0.000
```

Values from the calculation:
Calculated formation energy (meV/atom): -398
Space-group type: Pmmm (47)
Electronic total energy (hartree per atom): -0.3237